# 1
First-principles (PBE-GGA) data for Ag2SnPbAu4 after structural relaxation, as listed in Alexandria.

Lattice parameters (Å, degrees): 4.828 4.828 8.543 73.59 73.59 60.00
Sites, in units of the cell vectors:
Ag: 0.749 0.749 0.754
Ag: 0.251 0.251 0.246
Sn: 0.500 0.500 0.500
Pb: 0.000 0.000 0.000
Au: 0.379 0.379 0.862
Au: 0.871 0.871 0.386
Au: 0.129 0.129 0.614
Au: 0.621 0.621 0.138

Results
The density is 13.54 g cm⁻³. The calculation puts the calculated volume at 20.4 A^3/atom. Its total energy is -3.358 eV per atom. The value obtained for the energy relative to the elements is -0.043 eV/atom.

=====

# 2
First-principles (PBE-GGA) data for SrMgRu2Se after structural relaxation, as listed in Alexandria.

Lattice parameters (Å, degrees): 4.710 4.937 4.710 90.00 90.00 90.00
Sites, in units of the cell vectors:
Ru: 0.000 0.000 0.500
Ru: 0.500 0.000 0.000
Mg: 0.000 0.500 0.000
Se: 0.000 0.000 0.000
Sr: 0.500 0.500 0.500

Results
The density is 5.96 g cm⁻³. The calculation puts the calculated volume at 21.9 A^3/atom. Its total energy is -4.738 eV per atom. The uncorrected formation energy comes out at 325 meV/atom.

=====

# 3
First-principles (PBE-GGA) data for Tb6Y3HoEr2 after structural relaxation, as listed in Alexandria.

Lattice parameters (Å, degrees): 6.149 6.149 11.756 94.98 94.98 119.95
Sites, in units of the cell vectors:
Tb: 0.917 0.583 0.752
Tb: 0.750 0.750 0.248
Tb: 0.083 0.417 0.248
Tb: 0.583 0.917 0.752
Tb: 0.250 0.250 0.752
Tb: 0.417 0.083 0.248
Y: 0.167 0.833 0.500
Y: 0.833 0.167 0.500
Y: 0.500 0.500 0.500
Ho: 0.000 0.000 0.000
Er: 0.333 0.667 0.000
Er: 0.667 0.333 0.000

Results
The density is 7.53 g cm⁻³. The calculation puts the calculated volume at 31.6 A^3/atom. Its total energy is -5.055 eV per atom. The value obtained for the energy relative to the elements is 0.018 eV/atom.

=====

# 4
First-principles (PBE-GGA) data for SmHoAsP after structural relaxation, as listed in Alexandria.

Lattice parameters (Å, degrees): 4.109 4.110 5.796 90.00 90.00 90.00
Sites, in units of the cell vectors:
Sm: 0.500 0.392 0.593
Ho: 0.000 0.891 0.092
As: 0.000 0.892 0.592
P: 0.500 0.391 0.093

Results
The density is 7.15 g cm⁻³. The calculation puts the calculated volume at 24.5 A^3/atom. Its total energy is -6.376 eV per atom. The value obtained for the energy relative to the elements is -1.537 eV/atom.

=====

# 5
First-principles (PBE-GGA) data for SmErGa2 after structural relaxation, as listed in Alexandria.

Lattice parameters (Å, degrees): 3.675 3.675 8.992 78.21 78.21 60.00
Sites, in units of the cell vectors:
Ga: 0.748 0.748 0.756
Ga: 0.252 0.252 0.244
Sm: 0.500 0.500 0.500
Er: 0.000 0.000 0.000

Results
The density is 7.43 g cm⁻³. The calculation puts the calculated volume at 25.5 A^3/atom. Its total energy is -4.239 eV per atom. The value obtained for the energy relative to the elements is -0.405 eV/atom.

=====

# 6
First-principles (PBE-GGA) data for LiPu2Zn after structural relaxation, as listed in Alexandria.

Lattice parameters (Å, degrees): 5.148 3.503 3.503 90.00 90.00 90.00
Sites, in units of the cell vectors:
Zn: 0.500 0.500 0.500
Li: 0.500 0.000 0.000
Pu: 0.000 0.000 0.500
Pu: 0.000 0.500 0.000

Results
The density is 14.73 g cm⁻³. The calculation puts the calculated volume at 15.8 A^3/atom. Its total energy is -7.621 eV per atom. The value obtained for the energy relative to the elements is 0.342 eV/atom.